The following is a DFT calculation (PBE) of an optimized crystal structure of IrSBr2.

Unit cell a=11.8002 b=11.8002 c=11.8002 alpha=14.28 beta=14.28 gamma=14.28
Fractional coordinates of all 4 atoms:
S 0.5000 0.5000 0.5000
Ir 0.0000 0.0000 0.0000
Br 0.9317 0.9317 0.9317
Br 0.0683 0.0683 0.0683

- formation energy without anion corrections (eV/atom) = 0.713
- magnetic moment (Bohr magnetons per cell) = 0.00
- polymorph energy (0 for the lowest one) (kJ/mol of atoms) = 44.9